Compound: PmTm2Au3
Source: the Alexandria database
Functional: GGA-PBE
Structure: optimized geometry

```
data_PmTm2Au3
_chemical_formula_sum 'Pm1 Tm2 Au3'
_cell_length_a 3.565
_cell_length_b 3.565
_cell_length_c 10.967
_cell_angle_alpha 90.00
_cell_angle_beta 90.00
_cell_angle_gamma 90.00
_space_group_name_H-M_alt 'P 4/m m m'
_space_group_IT_number 123
_space_group_name_Hall '-P 4 2'
loop_
_atom_site_label
_atom_site_type_symbol
_atom_site_fract_x
_atom_site_fract_y
_atom_site_fract_z
_atom_site_occupancy
Pm1 Pm 0.000 0.000 0.000 1
Tm1 Tm 0.000 0.000 0.338 1
Au1 Au 0.500 0.500 0.183 1
Au2 Au 0.500 0.500 0.500 1
```

Results
The value obtained for the calculated total energy is -4.78 eV/atom. The spin magnetization comes out at 0.000 μB per atom.

Compound: Mg2InCo
Source: the Alexandria database
Functional: GGA-PBE
Structure: optimized geometry

```
data_Mg2InCo
_chemical_formula_sum 'Mg2 In1 Co1'
_cell_length_a 4.091
_cell_length_b 4.091
_cell_length_c 4.225
_cell_angle_alpha 90.00
_cell_angle_beta 90.00
_cell_angle_gamma 90.00
_space_group_name_H-M_alt 'P 4/m m m'
_space_group_IT_number 123
_space_group_name_Hall '-P 4 2'
loop_
_atom_site_label
_atom_site_type_symbol
_atom_site_fract_x
_atom_site_fract_y
_atom_site_fract_z
_atom_site_occupancy
Mg1 Mg 0.000 0.500 0.000 1
In1 In 0.000 0.000 0.500 1
Co1 Co 0.500 0.500 0.500 1
```

Results
The value obtained for the calculated total energy is -3.15 eV/atom. The spin magnetization comes out at 0.113 μB per atom.

Compound: K2Ag2Sn
Source: the Alexandria database
Functional: GGA-PBE
Structure: optimized geometry

```
data_K2Ag2Sn
_chemical_formula_sum 'K4 Ag4 Sn2'
_cell_length_a 4.665
_cell_length_b 4.665
_cell_length_c 14.671
_cell_angle_alpha 90.00
_cell_angle_beta 90.00
_cell_angle_gamma 90.00
_space_group_name_H-M_alt 'I 4/m m m'
_space_group_IT_number 139
_space_group_name_Hall '-I 4 2'
loop_
_atom_site_label
_atom_site_type_symbol
_atom_site_fract_x
_atom_site_fract_y
_atom_site_fract_z
_atom_site_occupancy
K1 K 0.000 0.500 0.250 1
Ag1 Ag 0.000 0.000 0.090 1
Sn1 Sn 0.000 0.000 0.500 1
```

Results
For the polymorph energy (0 for the lowest one), the calculation gives 0.476 eV per atom. The spin magnetization comes out at 0.000 μB per atom.

Question: Look up the spin magnetization of the first one.
Answer: 0.000 μB per atom